Below is a relaxed structure of KOsCl2, with properties calculated at the PBE-GGA level.

Values from the calculation:
Crystal system: trigonal
Relative energy among the computed polymorphs (meV/atom): 171
Uncorrected formation energy (eV per atom): 0.03

Lattice parameters (Å, degrees): 9.258 9.258 9.258 20.52 20.52 20.52
Sites, in units of the cell vectors:
1 Cl 0.085 0.085 0.085
2 Cl 0.915 0.915 0.915
3 K 0.500 0.500 0.500
4 Os 0.000 0.000 0.000